No. 1
{
  "formula": "NaSr3Nb2O9",
  "functional": "PBE",
  "state": "optimized geometry",
  "crystal_system": "trigonal",
  "e_tot_ev_per_cell": -109.28,
  "magmom_total_mub_per_cell": 0.780,
  "dos_ef_per_ev_atom": 0.710,
  "lattice_angstrom": [[5.838, 0.000, 0.000], [-2.919, 5.056, 0.000], [0.000, 0.000, 7.272]],
  "species": ["Na", "Sr", "Sr", "Sr", "Nb", "Nb", "O", "O", "O", "O", "O", "O", "O", "O", "O"],
  "fractional_positions": [[0.000, 0.000, 0.000], [0.000, 0.000, 0.500], [0.333, 0.667, 0.171], [0.667, 0.333, 0.829], [0.333, 0.667, 0.677], [0.667, 0.333, 0.323], [0.000, 0.500, 0.500], [0.172, 0.345, 0.815], [0.172, 0.828, 0.815], [0.345, 0.172, 0.185], [0.500, 0.000, 0.500], [0.500, 0.500, 0.500], [0.655, 0.828, 0.815], [0.828, 0.172, 0.185], [0.828, 0.655, 0.185]]
}

***

No. 2
{
  "formula": "NaSr2NbO5",
  "functional": "PBE",
  "state": "optimized geometry",
  "crystal_system": "tetragonal",
  "e_tot_ev_per_cell": -117.28,
  "magmom_total_mub_per_cell": 1.283,
  "dos_ef_per_ev_atom": 0.697,
  "lattice_angstrom": [[6.887, 0.000, 0.000], [0.000, 6.887, 0.000], [0.000, 0.000, 6.257]],
  "species": ["Na", "Na", "Sr", "Sr", "Sr", "Sr", "Nb", "Nb", "O", "O", "O", "O", "O", "O", "O", "O", "O", "O"],
  "fractional_positions": [[0.000, 0.000, 0.000], [0.500, 0.500, 0.000], [0.180, 0.320, 0.500], [0.320, 0.820, 0.500], [0.680, 0.180, 0.500], [0.820, 0.680, 0.500], [0.000, 0.500, 0.000], [0.500, 0.000, 0.000], [0.000, 0.000, 0.500], [0.139, 0.639, 0.222], [0.139, 0.639, 0.778], [0.361, 0.139, 0.222], [0.361, 0.139, 0.778], [0.500, 0.500, 0.500], [0.639, 0.861, 0.222], [0.639, 0.861, 0.778], [0.861, 0.361, 0.222], [0.861, 0.361, 0.778]]
}